Entry P
RbLiBi3 after structural relaxation, computed with PBE-GGA.

Summary:
- Size of the total moment: 0.00 μB per formula unit
- Calculated volume: 162.3 Å³/cell

Cell: 5.454 5.454 5.454 Å, 90.00 90.00 90.00°
Space group Pm-3m (No. 221)
Inequivalent atoms, fractional coordinates:
1 Rb 0.000 0.000 0.000 x1
2 Li 0.500 0.500 0.500 x1
3 Bi 0.000 0.500 0.500 x3

---

Entry Q
RbLiBi3 after structural relaxation, computed with PBE-GGA.

Summary:
- Size of the total moment: 0.00 μB per formula unit
- Calculated volume: 242.5 Å³/cell

Cell: 6.236 6.236 6.236 Å, 90.00 90.00 90.00°
Space group Pm-3m (No. 221)
Inequivalent atoms, fractional coordinates:
1 Rb 0.000 0.000 0.000 x1
2 Li 0.500 0.500 0.500 x1
3 Bi 0.000 0.000 0.500 x3

---

Verdict on stability: entry P comes out on top.

---

Entry P
Rb3LiBi after structural relaxation, computed with PBE-GGA.

Summary:
- Size of the total moment: 0.39 μB per formula unit
- Calculated volume: 937.8 Å³/cell

Cell: 6.514 11.815 12.185 Å, 90.00 90.00 90.00°
Space group Cmcm (No. 63)
Inequivalent atoms, fractional coordinates:
1 Rb 0.000 0.138 0.250 x4
2 Rb 0.000 0.174 0.574 x8
3 Li 0.000 0.479 0.250 x4
4 Bi 0.000 0.500 0.000 x4

---

Entry Q
Rb3LiBi after structural relaxation, computed with PBE-GGA.

Summary:
- Size of the total moment: 1.00 μB per formula unit
- Calculated volume: 377.9 Å³/cell

Cell: 7.230 7.230 7.230 Å, 90.00 90.00 90.00°
Space group Pm-3m (No. 221)
Inequivalent atoms, fractional coordinates:
1 Rb 0.000 0.000 0.500 x3
2 Li 0.500 0.500 0.500 x1
3 Bi 0.000 0.000 0.000 x1

---

Verdict on stability: entry P comes out on top.

---

Entry P
LiRe2Bi2 after structural relaxation, computed with PBE-GGA.

Summary:
- Size of the total moment: 0.00 μB per formula unit
- Calculated volume: 209.1 Å³/cell

Cell: 7.026 7.026 4.236 Å, 90.00 90.00 90.00°
Space group P4/mbm (No. 127)
Inequivalent atoms, fractional coordinates:
1 Li 0.000 0.000 0.000 x2
2 Re 0.120 0.380 0.000 x4
3 Bi 0.178 0.678 0.500 x4

---

Entry Q
LiRe2Bi2 after structural relaxation, computed with PBE-GGA.

Summary:
- Size of the total moment: 0.00 μB per formula unit
- Calculated volume: 245.5 Å³/cell

Cell: 5.129 5.129 9.330 Å, 90.00 90.00 90.00°
Space group I4/mmm (No. 139)
Inequivalent atoms, fractional coordinates:
1 Li 0.000 0.000 0.000 x2
2 Re 0.000 0.000 0.379 x4
3 Bi 0.000 0.500 0.250 x4

---

Verdict on stability: entry Q comes out on top.

---

Entry P
LiReBi2 after structural relaxation, computed with PBE-GGA.

Summary:
- Size of the total moment: 0.00 μB per formula unit
- Calculated volume: 328.0 Å³/cell

Cell: 6.897 6.897 6.897 Å, 90.00 90.00 90.00°
Space group Fm-3m (No. 225)
Inequivalent atoms, fractional coordinates:
1 Li 0.000 0.000 0.000 x4
2 Re 0.000 0.000 0.500 x4
3 Bi 0.250 0.250 0.250 x8

---

Entry Q
LiReBi2 after structural relaxation, computed with PBE-GGA.

Summary:
- Size of the total moment: 0.00 μB per formula unit
- Calculated volume: 524.7 Å³/cell

Cell: 6.721 6.721 11.616 Å, 90.00 90.00 90.00°
Space group I-42d (No. 122)
Inequivalent atoms, fractional coordinates:
1 Li 0.000 0.000 0.000 x4
2 Re 0.000 0.000 0.500 x4
3 Bi 0.217 0.250 0.625 x8

---

Verdict on stability: entry P comes out on top.

---

Entry P
LiBiRh after structural relaxation, computed with PBE-GGA.

Summary:
- Size of the total moment: 0.00 μB per formula unit
- Calculated volume: 105.6 Å³/cell

Cell: 3.509 3.509 8.576 Å, 90.00 90.00 90.00°
Space group I4mm (No. 107)
Inequivalent atoms, fractional coordinates:
1 Li 0.000 0.000 0.000 x2
2 Bi 0.000 0.000 0.320 x2
3 Rh 0.000 0.000 0.661 x2

---

Entry Q
LiBiRh after structural relaxation, computed with PBE-GGA.

Summary:
- Size of the total moment: 0.00 μB per formula unit
- Calculated volume: 117.2 Å³/cell

Cell: 4.241 4.241 6.515 Å, 90.00 90.00 90.00°
Space group P4/nmm (No. 129, origin choice 2)
Inequivalent atoms, fractional coordinates:
1 Li 0.250 0.250 0.237 x2
2 Bi 0.250 0.250 0.771 x2
3 Rh 0.250 0.750 0.500 x2

---

Verdict on stability: entry Q comes out on top.

---

Entry P
LiBiRh after structural relaxation, computed with PBE-GGA.

Summary:
- Size of the total moment: 0.00 μB per formula unit
- Calculated volume: 247.0 Å³/cell

Cell: 6.274 6.274 6.274 Å, 90.00 90.00 90.00°
Space group F-43m (No. 216)
Inequivalent atoms, fractional coordinates:
1 Li 0.000 0.000 0.000 x4
2 Bi 0.000 0.000 0.500 x4
3 Rh 0.250 0.250 0.750 x4

---

Entry Q
LiBiRh after structural relaxation, computed with PBE-GGA.

Summary:
- Size of the total moment: 0.00 μB per formula unit
- Calculated volume: 54.0 Å³/cell

Cell: 4.3961 4.3961 3.2252 Å, 90.00 90.00 120.00°
Space group P3m1 (No. 156)
Inequivalent atoms, fractional coordinates:
1 Li 0.0000 0.0000 0.0000 x1
2 Bi 0.6667 0.3333 0.4834 x1
3 Rh 0.3333 0.6667 0.9693 x1

---

Verdict on stability: entry P comes out on top.

---

Entry P
Li2BiRh2 after structural relaxation, computed with PBE-GGA.

Summary:
- Size of the total moment: 0.00 μB per formula unit
- Calculated volume: 179.1 Å³/cell

Cell: 6.709 6.709 3.979 Å, 90.00 90.00 90.00°
Space group P4/mbm (No. 127)
Inequivalent atoms, fractional coordinates:
1 Li 0.154 0.346 0.000 x4
2 Bi 0.000 0.000 0.500 x2
3 Rh 0.137 0.637 0.500 x4

---

Entry Q
Li2BiRh2 after structural relaxation, computed with PBE-GGA.

Summary:
- Size of the total moment: 0.00 μB per formula unit
- Calculated volume: 160.7 Å³/cell

Cell: 7.636 4.435 5.376 Å, 90.00 118.07 90.00°
Space group C2/m (No. 12)
Inequivalent atoms, fractional coordinates:
1 Li 0.202 0.000 0.105 x4
2 Bi 0.000 0.000 0.500 x2
3 Rh 0.093 0.500 0.282 x4

---

Verdict on stability: entry Q comes out on top.

---

Entry P
LiBi3Rh after structural relaxation, computed with PBE-GGA.

Summary:
- Size of the total moment: 0.00 μB per formula unit
- Calculated volume: 1012.4 Å³/cell

Cell: 13.239 13.341 6.098 Å, 90.00 109.95 90.00°
Space group C2/c (No. 15)
Inequivalent atoms, fractional coordinates:
1 Li 0.099 0.065 0.168 x8
2 Bi 0.118 0.157 0.680 x8
3 Bi 0.130 0.287 0.203 x8
4 Bi 0.162 0.436 0.699 x8
5 Rh 0.000 0.325 0.750 x4
6 Rh 0.000 0.447 0.250 x4

---

Entry Q
LiBi3Rh after structural relaxation, computed with PBE-GGA.

Summary:
- Size of the total moment: 0.00 μB per formula unit
- Calculated volume: 155.4 Å³/cell

Cell: 5.376 5.376 5.376 Å, 90.00 90.00 90.00°
Space group Pm-3m (No. 221)
Inequivalent atoms, fractional coordinates:
1 Li 0.000 0.000 0.000 x1
2 Bi 0.000 0.500 0.500 x3
3 Rh 0.500 0.500 0.500 x1

---

Verdict on stability: entry P comes out on top.